Material: GaMoF2
Method: DFT, GGA+U
State: relaxed

extended XYZ file:
```
4
Lattice="1.7329 1.0005 7.4904 -1.7329 1.0005 7.4904 0.0000 -2.0010 7.4904" Properties=species:S:1:pos:R:3 pbc="T T T"
Ga 0.0000 0.0000 0.0000
Mo 0.0000 0.0000 11.2356
F 0.0000 0.0000 9.1154
F 0.0000 0.0000 13.3559
```

Summary:
- crystal system = trigonal
- total DFT energy (no corrections) (eV per formula unit) = -18.3
- SG = R-3m (166)